Density functional theory data (PBE) for DyTm2Al3Ge2Au after structural relaxation.

Electronic total energy ... -4.851 eV/atom
Crystal system ... orthorhombic

Cell: 4.244 7.017 7.017 Å, 120.23 90.00 90.00°
Element x y z (fractional)
Au: 0.000 0.006 0.006
Al: 0.500 0.239 0.239
Al: 0.500 0.761 0.999
Tm: 0.000 0.415 0.998
Ge: 0.500 0.667 0.330
Tm: 0.000 0.998 0.415
Ge: 0.500 0.330 0.667
Dy: 0.000 0.585 0.585
Al: 0.500 0.999 0.761